The following is a DFT calculation (GGA-PBE) of a relaxed structure of Sr2Li3Tl5.

Results
Electronic total energy = -47.13 eV per cell
Space group = Cmc2_1, No. 36
Calculated formation energy = -0.263 eV per atom
Crystal system = orthorhombic

a = 14.148 Å, b = 14.148 Å, c = 7.732 Å
α = 90.00°, β = 90.00°, γ = 159.66°
Fractional positions:
Sr 0.017 0.983 0.500
Sr 0.325 0.675 0.468
Sr 0.675 0.325 0.968
Sr 0.983 0.017 0.000
Li 0.108 0.892 0.779
Li 0.270 0.730 0.956
Li 0.446 0.554 0.700
Li 0.554 0.446 0.200
Li 0.730 0.270 0.456
Li 0.892 0.108 0.279
Tl 0.099 0.901 0.162
Tl 0.205 0.795 0.660
Tl 0.210 0.790 0.260
Tl 0.373 0.627 0.985
Tl 0.447 0.553 0.311
Tl 0.553 0.447 0.811
Tl 0.627 0.373 0.485
Tl 0.790 0.210 0.760
Tl 0.795 0.205 0.160
Tl 0.901 0.099 0.662


The following is a DFT calculation (GGA-PBE) of a relaxed structure of Sr6LiTl2.

Results
E above lowest polymorph = 0.018 eV per atom
Electronic total energy = -18.13 eV per cell
Space group = C2/m, No. 12
Calculated formation energy = -0.154 eV per atom
Crystal system = monoclinic

a = 6.075 Å, b = 6.075 Å, c = 11.180 Å
α = 90.06°, β = 90.06°, γ = 59.87°
Fractional positions:
Sr 0.000 0.000 0.205
Sr 0.000 0.000 0.795
Sr 0.333 0.333 0.591
Sr 0.333 0.333 0.955
Sr 0.667 0.667 0.045
Sr 0.667 0.667 0.409
Li 0.000 0.000 0.500
Tl 0.332 0.332 0.269
Tl 0.668 0.668 0.731


The following is a DFT calculation (GGA-PBE) of a relaxed structure of Sr2Li6Tl3.

Results
Electronic total energy = -23.79 eV per cell
Space group = P-62m, No. 189
Calculated formation energy = -0.168 eV per atom
Crystal system = hexagonal

a = 9.029 Å, b = 9.029 Å, c = 4.182 Å
α = 90.00°, β = 90.00°, γ = 120.00°
Fractional positions:
Sr 0.333 0.667 0.000
Sr 0.667 0.333 0.000
Li 0.000 0.284 0.500
Li 0.000 0.812 0.000
Li 0.188 0.188 0.000
Li 0.284 0.000 0.500
Li 0.716 0.716 0.500
Li 0.812 0.000 0.000
Tl 0.000 0.605 0.500
Tl 0.395 0.395 0.500
Tl 0.605 0.000 0.500


The following is a DFT calculation (GGA-PBE) of a relaxed structure of Sr2LiTl4.

Results
E above lowest polymorph = 0.000 eV per atom
Electronic total energy = -32.33 eV per cell
Space group = I4/mmm, No. 139
Calculated formation energy = -0.203 eV per atom
Crystal system = tetragonal

a = 5.256 Å, b = 5.256 Å, c = 15.611 Å
α = 90.00°, β = 90.00°, γ = 90.00°
Fractional positions:
Sr 0.000 0.000 0.248
Sr 0.000 0.000 0.752
Sr 0.500 0.500 0.252
Sr 0.500 0.500 0.748
Li 0.000 0.000 0.000
Li 0.500 0.500 0.500
Tl 0.000 0.500 0.098
Tl 0.000 0.500 0.402
Tl 0.000 0.500 0.598
Tl 0.000 0.500 0.902
Tl 0.500 0.000 0.098
Tl 0.500 0.000 0.402
Tl 0.500 0.000 0.598
Tl 0.500 0.000 0.902


The following is a DFT calculation (GGA-PBE) of a relaxed structure of Sr2Li2Tl.

Results
E above lowest polymorph = 0.027 eV per atom
Electronic total energy = -20.81 eV per cell
Space group = C2/m, No. 12
Calculated formation energy = -0.170 eV per atom
Crystal system = monoclinic

a = 6.578 Å, b = 6.578 Å, c = 12.229 Å
α = 116.78°, β = 116.78°, γ = 46.22°
Fractional positions:
Sr 0.015 0.015 0.333
Sr 0.202 0.202 0.120
Sr 0.798 0.798 0.880
Sr 0.985 0.985 0.667
Li 0.342 0.342 0.453
Li 0.496 0.496 0.115
Li 0.504 0.504 0.885
Li 0.658 0.658 0.547
Tl 0.271 0.271 0.655
Tl 0.729 0.729 0.345


The following is a DFT calculation (GGA-PBE) of a relaxed structure of Sr2Li2Tl.

Results
E above lowest polymorph = 0.090 eV per atom
Electronic total energy = -20.19 eV per cell
Space group = I4/mmm, No. 139
Calculated formation energy = -0.107 eV per atom
Crystal system = tetragonal

a = 4.047 Å, b = 4.047 Å, c = 20.666 Å
α = 90.00°, β = 90.00°, γ = 90.00°
Fractional positions:
Sr 0.000 0.000 0.099
Sr 0.000 0.000 0.901
Sr 0.500 0.500 0.401
Sr 0.500 0.500 0.599
Li 0.000 0.500 0.250
Li 0.000 0.500 0.750
Li 0.500 0.000 0.250
Li 0.500 0.000 0.750
Tl 0.000 0.000 0.500
Tl 0.500 0.500 0.000


The following is a DFT calculation (GGA-PBE) of a relaxed structure of SrLi3Tl2.

Results
E above lowest polymorph = 0.000 eV per atom
Electronic total energy = -41.12 eV per cell
Space group = P6/mmm, No. 191
Calculated formation energy = -0.259 eV per atom
Crystal system = hexagonal

a = 10.843 Å, b = 10.843 Å, c = 4.571 Å
α = 90.00°, β = 90.00°, γ = 120.00°
Fractional positions:
Sr 0.000 0.000 0.000
Sr 0.333 0.667 0.500
Sr 0.667 0.333 0.500
Li 0.000 0.289 0.500
Li 0.000 0.500 0.000
Li 0.000 0.711 0.500
Li 0.289 0.000 0.500
Li 0.289 0.289 0.500
Li 0.500 0.000 0.000
Li 0.500 0.500 0.000
Li 0.711 0.000 0.500
Li 0.711 0.711 0.500
Tl 0.190 0.380 0.000
Tl 0.190 0.810 0.000
Tl 0.380 0.190 0.000
Tl 0.620 0.810 0.000
Tl 0.810 0.190 0.000
Tl 0.810 0.620 0.000


The following is a DFT calculation (GGA-PBE) of a relaxed structure of SrLiTl2.

Results
Electronic total energy = -9.53 eV per cell
Space group = Pmmm, No. 47
Calculated formation energy = -0.301 eV per atom
Crystal system = orthorhombic

a = 3.687 Å, b = 3.809 Å, c = 7.811 Å
α = 90.00°, β = 90.00°, γ = 90.00°
Fractional positions:
Sr 0.000 0.000 0.000
Li 0.000 0.000 0.500
Tl 0.500 0.500 0.298
Tl 0.500 0.500 0.702


The following is a DFT calculation (GGA-PBE) of a relaxed structure of Sr3Li2Tl4.

Results
Electronic total energy = -21.27 eV per cell
Space group = C2/m, No. 12
Calculated formation energy = -0.325 eV per atom
Crystal system = monoclinic

a = 5.728 Å, b = 5.728 Å, c = 9.829 Å
α = 99.15°, β = 99.15°, γ = 58.78°
Fractional positions:
Sr 0.000 0.000 0.000
Sr 0.379 0.379 0.267
Sr 0.621 0.621 0.733
Li 0.271 0.271 0.605
Li 0.729 0.729 0.395
Tl 0.066 0.066 0.368
Tl 0.311 0.311 0.900
Tl 0.689 0.689 0.100
Tl 0.934 0.934 0.632


The following is a DFT calculation (GGA-PBE) of a relaxed structure of Sr4LiTl12.

Results
Electronic total energy = -41.34 eV per cell
Space group = Im-3m, No. 229
Calculated formation energy = -0.253 eV per atom
Crystal system = cubic

a = 8.749 Å, b = 8.749 Å, c = 8.749 Å
α = 109.47°, β = 109.47°, γ = 109.47°
Fractional positions:
Sr 0.000 0.000 0.500
Sr 0.000 0.500 0.000
Sr 0.500 0.000 0.000
Sr 0.500 0.500 0.500
Li 0.000 0.000 0.000
Tl 0.000 0.282 0.282
Tl 0.000 0.718 0.718
Tl 0.250 0.500 0.750
Tl 0.250 0.750 0.500
Tl 0.282 0.000 0.282
Tl 0.282 0.282 0.000
Tl 0.500 0.250 0.750
Tl 0.500 0.750 0.250
Tl 0.718 0.000 0.718
Tl 0.718 0.718 0.000
Tl 0.750 0.250 0.500
Tl 0.750 0.500 0.250


The following is a DFT calculation (GGA-PBE) of a relaxed structure of Sr3LiTl.

Results
E above lowest polymorph = 0.232 eV per atom
Electronic total energy = -9.11 eV per cell
Space group = Pm-3m, No. 221
Calculated formation energy = 0.043 eV per atom
Crystal system = cubic

a = 6.428 Å, b = 6.428 Å, c = 6.428 Å
α = 90.00°, β = 90.00°, γ = 90.00°
Fractional positions:
Sr 0.000 0.000 0.500
Sr 0.000 0.500 0.000
Sr 0.500 0.000 0.000
Li 0.500 0.500 0.500
Tl 0.000 0.000 0.000


The following is a DFT calculation (GGA-PBE) of a relaxed structure of SrLi5Tl2.

Results
Electronic total energy = -34.66 eV per cell
Space group = Immm, No. 71
Calculated formation energy = -0.168 eV per atom
Crystal system = orthorhombic

a = 4.233 Å, b = 8.466 Å, c = 11.148 Å
α = 90.00°, β = 90.00°, γ = 90.00°
Fractional positions:
Sr 0.000 0.000 0.000
Sr 0.500 0.500 0.500
Li 0.000 0.185 0.348
Li 0.000 0.185 0.652
Li 0.000 0.500 0.000
Li 0.000 0.815 0.348
Li 0.000 0.815 0.652
Li 0.500 0.000 0.500
Li 0.500 0.315 0.152
Li 0.500 0.315 0.848
Li 0.500 0.685 0.152
Li 0.500 0.685 0.848
Tl 0.000 0.500 0.255
Tl 0.000 0.500 0.745
Tl 0.500 0.000 0.245
Tl 0.500 0.000 0.755


The following is a DFT calculation (GGA-PBE) of a relaxed structure of Sr2Li3Tl5.

Results
Electronic total energy = -47.12 eV per cell
Space group = Ibam, No. 72
Calculated formation energy = -0.263 eV per atom
Crystal system = orthorhombic

a = 9.825 Å, b = 9.825 Å, c = 9.825 Å
α = 107.72°, β = 85.18°, γ = 141.22°
Fractional positions:
Sr 0.146 0.227 0.373
Sr 0.354 0.727 0.081
Sr 0.646 0.273 0.919
Sr 0.854 0.773 0.627
Li 0.146 0.917 0.063
Li 0.250 0.750 0.500
Li 0.354 0.417 0.771
Li 0.646 0.583 0.229
Li 0.750 0.250 0.500
Li 0.854 0.083 0.937
Tl 0.043 0.750 0.293
Tl 0.085 0.688 0.773
Tl 0.250 0.250 0.000
Tl 0.415 0.188 0.603
Tl 0.457 0.750 0.707
Tl 0.543 0.250 0.293
Tl 0.585 0.812 0.397
Tl 0.750 0.750 0.000
Tl 0.915 0.312 0.227
Tl 0.957 0.250 0.707


The following is a DFT calculation (GGA-PBE) of a relaxed structure of SrLi4Tl5.

Results
Electronic total energy = -23.58 eV per cell
Space group = P4/mmm, No. 123
Calculated formation energy = -0.241 eV per atom
Crystal system = tetragonal

a = 3.613 Å, b = 3.613 Å, c = 18.103 Å
α = 90.00°, β = 90.00°, γ = 90.00°
Fractional positions:
Sr 0.000 0.000 0.000
Li 0.000 0.000 0.222
Li 0.000 0.000 0.406
Li 0.000 0.000 0.594
Li 0.000 0.000 0.778
Tl 0.500 0.500 0.133
Tl 0.500 0.500 0.314
Tl 0.500 0.500 0.500
Tl 0.500 0.500 0.686
Tl 0.500 0.500 0.867


The following is a DFT calculation (GGA-PBE) of a relaxed structure of Sr3Li2Tl.

Results
E above lowest polymorph = 0.000 eV per atom
Electronic total energy = -24.32 eV per cell
Space group = P-3m1, No. 164
Calculated formation energy = -0.153 eV per atom
Crystal system = trigonal

a = 5.867 Å, b = 5.867 Å, c = 14.268 Å
α = 90.00°, β = 90.00°, γ = 120.00°
Fractional positions:
Sr 0.000 0.000 0.244
Sr 0.000 0.000 0.756
Sr 0.333 0.667 0.410
Sr 0.333 0.667 0.917
Sr 0.667 0.333 0.083
Sr 0.667 0.333 0.590
Li 0.000 0.000 0.000
Li 0.000 0.000 0.500
Li 0.333 0.667 0.669
Li 0.667 0.333 0.331
Tl 0.333 0.667 0.166
Tl 0.667 0.333 0.834


The following is a DFT calculation (GGA-PBE) of a relaxed structure of Sr3Li8Tl.

Results
Electronic total energy = -23.28 eV per cell
Space group = R3m, No. 160
Calculated formation energy = -0.046 eV per atom
Crystal system = trigonal

a = 10.999 Å, b = 10.999 Å, c = 10.999 Å
α = 32.04°, β = 32.04°, γ = 32.04°
Fractional positions:
Sr 0.000 0.000 0.000
Sr 0.130 0.130 0.130
Sr 0.522 0.522 0.522
Li 0.059 0.569 0.569
Li 0.077 0.077 0.568
Li 0.077 0.568 0.077
Li 0.318 0.318 0.318
Li 0.568 0.077 0.077
Li 0.569 0.059 0.569
Li 0.569 0.569 0.059
Li 0.823 0.823 0.823
Tl 0.637 0.637 0.637


The following is a DFT calculation (GGA-PBE) of a relaxed structure of Sr4LiTl.

Results
E above lowest polymorph = 0.111 eV per atom
Electronic total energy = -22.29 eV per cell
Space group = C2/m, No. 12
Calculated formation energy = -0.023 eV per atom
Crystal system = monoclinic

a = 8.216 Å, b = 8.216 Å, c = 8.220 Å
α = 90.00°, β = 90.09°, γ = 90.00°
Fractional positions:
Sr 0.250 0.250 0.237
Sr 0.250 0.250 0.763
Sr 0.250 0.750 0.237
Sr 0.250 0.750 0.763
Sr 0.750 0.250 0.237
Sr 0.750 0.250 0.763
Sr 0.750 0.750 0.237
Sr 0.750 0.750 0.763
Li 0.000 0.000 0.500
Li 0.500 0.500 0.500
Tl 0.000 0.500 0.000
Tl 0.500 0.000 0.000


The following is a DFT calculation (GGA-PBE) of a relaxed structure of SrLi5Tl6.

Results
Electronic total energy = -28.15 eV per cell
Space group = C2/m, No. 12
Calculated formation energy = -0.225 eV per atom
Crystal system = monoclinic

a = 8.657 Å, b = 8.657 Å, c = 4.973 Å
α = 105.58°, β = 105.58°, γ = 53.34°
Fractional positions:
Sr 0.000 0.000 0.000
Li 0.164 0.164 0.659
Li 0.317 0.317 0.315
Li 0.500 0.500 0.000
Li 0.683 0.683 0.685
Li 0.836 0.836 0.341
Tl 0.107 0.547 0.825
Tl 0.292 0.708 0.500
Tl 0.453 0.893 0.175
Tl 0.547 0.107 0.825
Tl 0.708 0.292 0.500
Tl 0.893 0.453 0.175


The following is a DFT calculation (GGA-PBE) of a relaxed structure of SrLiTl4.

Results
E above lowest polymorph = 0.000 eV per atom
Electronic total energy = -28.99 eV per cell
Space group = Cmcm, No. 63
Calculated formation energy = -0.239 eV per atom
Crystal system = orthorhombic

a = 9.468 Å, b = 9.468 Å, c = 7.756 Å
α = 90.00°, β = 90.00°, γ = 150.92°
Fractional positions:
Sr 0.120 0.880 0.750
Sr 0.880 0.120 0.250
Li 0.229 0.771 0.250
Li 0.771 0.229 0.750
Tl 0.073 0.927 0.250
Tl 0.316 0.684 0.548
Tl 0.316 0.684 0.952
Tl 0.500 0.500 0.000
Tl 0.500 0.500 0.500
Tl 0.684 0.316 0.048
Tl 0.684 0.316 0.452
Tl 0.927 0.073 0.750


The following is a DFT calculation (GGA-PBE) of a relaxed structure of Sr4LiTl2.

Results
Electronic total energy = -15.05 eV per cell
Space group = R-3m, No. 166
Calculated formation energy = -0.240 eV per atom
Crystal system = trigonal

a = 9.943 Å, b = 9.943 Å, c = 9.943 Å
α = 33.70°, β = 33.70°, γ = 33.70°
Fractional positions:
Sr 0.122 0.122 0.122
Sr 0.373 0.373 0.373
Sr 0.627 0.627 0.627
Sr 0.878 0.878 0.878
Li 0.500 0.500 0.500
Tl 0.246 0.246 0.246
Tl 0.754 0.754 0.754